No. 1
DFT (PBE-GGA) results for an optimized crystal structure of TaCuS2N.

Cell lengths 4.556, 4.556, 3.522 Å; angles 90.00, 90.00, 90.00 degrees
Space group P4/mmm (No. 123)
Unique sites:
Ta1 0.000 0.000 0.000 (multiplicity 1)
Cu1 0.500 0.500 0.500 (multiplicity 1)
S1 0.000 0.500 0.500 (multiplicity 2)
N1 0.500 0.500 0.000 (multiplicity 1)

Computed properties:
Excess energy over the best structure of this formula in the dataset = 766 meV/atom
Mass density = 7329 kg/m³
DOS at the Fermi energy = 6.0 states/eV/cell
Uncorrected formation energy = 0.9455 eV per atom
V = 14.6 Å³/atom

No. 2
DFT (PBE-GGA) results for an optimized crystal structure of Pr14DyAl.

Cell lengths 10.314, 10.317, 10.320 Å; angles 90.00, 90.00, 90.00 degrees
Space group Amm2 (No. 38)
Unique sites:
Pr1 0.000 0.000 0.000 (multiplicity 2)
Pr2 0.000 0.000 0.500 (multiplicity 2)
Pr3 0.000 0.250 0.250 (multiplicity 4)
Pr4 0.258 0.000 0.256 (multiplicity 4)
Pr5 0.259 0.244 0.500 (multiplicity 8)
Pr6 0.260 0.000 0.744 (multiplicity 4)
Pr7 0.500 0.249 0.250 (multiplicity 4)
Dy1 0.500 0.000 0.000 (multiplicity 2)
Al1 0.500 0.000 0.500 (multiplicity 2)

Computed properties:
Calculated formation energy = -9 meV/atom
Mass density = 6538 kg/m³
DOS at the Fermi energy = 40.7 states/eV/cell
V = 34.3 Å³/atom